--- P ---
This record from Alexandria via LeMat-Bulk describes a relaxed TcCl3 crystal. The functional is PBE-GGA. Values from VASP.

Geometry as Quantum ESPRESSO input:
```
&SYSTEM
  ibrav = 0, nat = 4, ntyp = 2
/
ATOMIC_SPECIES
Cl 35.45 Cl.upf
Tc 98.00 Tc.upf
CELL_PARAMETERS angstrom
-2.679 -1.955 -0.352
2.891 -1.303 1.035
-2.333 1.651 8.598
ATOMIC_POSITIONS crystal
Cl 0.000 0.000 0.573
Cl 0.000 0.000 0.927
Cl 0.667 0.333 0.250
Tc 0.667 0.333 0.750
```

Output
Calculated volume (Å³ per atom): 21.83
Magnetic moment (μB/atom): 0.8172
Space group: P-6m2 (187)
Calculated density (g/cm³): 3.89

***

--- Q ---
This record from Alexandria via LeMat-Bulk describes a relaxed TcCl3 crystal. The functional is PBE-GGA. Values from VASP.

Geometry as Quantum ESPRESSO input:
```
&SYSTEM
  ibrav = 0, nat = 4, ntyp = 2
/
ATOMIC_SPECIES
Cl 35.45 Cl.upf
Tc 98.00 Tc.upf
CELL_PARAMETERS angstrom
-6.559 2.717 -1.857
-6.897 -2.498 0.178
6.521 1.919 2.764
ATOMIC_POSITIONS crystal
Cl 0.750 0.250 0.500
Cl 0.390 0.390 0.000
Tc 0.250 0.750 0.500
Cl 0.110 0.110 0.000
```

Output
Calculated volume (Å³ per atom): 24.20
Magnetic moment (μB/atom): 0.3565
Space group: Immm (71)
Calculated density (g/cm³): 3.51

***

Q: Which of them is the most stable? A: Q.